# LiHf8N8O4, optimized geometry, DFT GGA-PBE
data_LiHf8N8O4
_chemical_formula_sum 'Li1 Hf8 N8 O4'
_cell_length_a 5.774
_cell_length_b 5.825
_cell_length_c 9.117
_cell_angle_alpha 90.90
_cell_angle_beta 90.42
_cell_angle_gamma 117.06
_symmetry_space_group_name_H-M 'P 1'
_symmetry_Int_Tables_number 1
_symmetry_space_group_name_Hall 'P 1'
loop_
_atom_site_label
_atom_site_type_symbol
_atom_site_fract_x
_atom_site_fract_y
_atom_site_fract_z
Li1 Li 0.000 0.000 0.000
Hf1 Hf 0.008 0.375 0.267
Hf2 Hf 0.317 0.668 0.955
Hf3 Hf 0.321 0.997 0.681
Hf4 Hf 0.348 0.047 0.323
Hf5 Hf 0.590 0.640 0.589
Hf6 Hf 0.640 0.668 0.243
Hf7 Hf 0.662 0.338 0.951
Hf8 Hf 0.950 0.315 0.587
N1 N 0.280 0.618 0.717
N2 N 0.307 0.713 0.196
N3 N 0.321 0.383 0.431
N4 N 0.323 0.013 0.911
N5 N 0.563 0.977 0.489
N6 N 0.627 0.305 0.195
N7 N 0.662 0.679 0.006
N8 N 0.664 0.363 0.715
O1 O 0.913 0.591 0.434
O2 O 0.965 0.982 0.656
O3 O 0.983 0.004 0.234
O4 O 0.999 0.328 0.999
# - mass density (Mg/m³) = 9.80
# - relative energy among the computed polymorphs (eV/atom) = 0.016
# - M_tot (μB per formula unit) = 1.01
# - raw formation energy (eV/atom) = -2.024



# SrY2Mg, optimized geometry, DFT GGA-PBE
data_SrY2Mg
_chemical_formula_sum 'Sr1 Y2 Mg1'
_cell_length_a 5.053
_cell_length_b 5.053
_cell_length_c 5.323
_cell_angle_alpha 90.00
_cell_angle_beta 90.00
_cell_angle_gamma 90.00
_symmetry_space_group_name_H-M 'P 1'
_symmetry_Int_Tables_number 1
_symmetry_space_group_name_Hall 'P 1'
loop_
_atom_site_label
_atom_site_type_symbol
_atom_site_fract_x
_atom_site_fract_y
_atom_site_fract_z
Sr1 Sr 0.000 0.000 0.000
Y1 Y 0.000 0.500 0.500
Y2 Y 0.500 0.000 0.500
Mg1 Mg 0.500 0.500 0.000
# - mass density (Mg/m³) = 3.54
# - M_tot (μB per formula unit) = 0.82
# - formation energy from the elements (meV/atom) = 162



# NaTaCd, optimized geometry, DFT GGA-PBE
data_NaTaCd
_chemical_formula_sum 'Na2 Ta2 Cd2'
_cell_length_a 4.990
_cell_length_b 4.990
_cell_length_c 5.835
_cell_angle_alpha 90.00
_cell_angle_beta 90.00
_cell_angle_gamma 120.00
_symmetry_space_group_name_H-M 'P 1'
_symmetry_Int_Tables_number 1
_symmetry_space_group_name_Hall 'P 1'
loop_
_atom_site_label
_atom_site_type_symbol
_atom_site_fract_x
_atom_site_fract_y
_atom_site_fract_z
Na1 Na 0.000 0.000 0.000
Na2 Na 0.000 0.000 0.500
Ta1 Ta 0.333 0.667 0.250
Ta2 Ta 0.667 0.333 0.750
Cd1 Cd 0.333 0.667 0.750
Cd2 Cd 0.667 0.333 0.250
# - mass density (Mg/m³) = 8.35
# - relative energy among the computed polymorphs (eV/atom) = 0.788
# - M_tot (μB per formula unit) = 0.00
# - formation energy from the elements (meV/atom) = 926



# Ca2LaZnTe, optimized geometry, DFT GGA-PBE
data_Ca2LaZnTe
_chemical_formula_sum 'Ca2 La1 Zn1 Te1'
_cell_length_a 5.579
_cell_length_b 5.579
_cell_length_c 5.627
_cell_angle_alpha 90.00
_cell_angle_beta 90.00
_cell_angle_gamma 90.00
_symmetry_space_group_name_H-M 'P 1'
_symmetry_Int_Tables_number 1
_symmetry_space_group_name_Hall 'P 1'
loop_
_atom_site_label
_atom_site_type_symbol
_atom_site_fract_x
_atom_site_fract_y
_atom_site_fract_z
Ca1 Ca 0.000 0.500 0.000
Ca2 Ca 0.500 0.000 0.000
La1 La 0.000 0.000 0.500
Zn1 Zn 0.000 0.000 0.000
Te1 Te 0.500 0.500 0.500
# - mass density (Mg/m³) = 3.91
# - M_tot (μB per formula unit) = 0.00
# - raw formation energy (eV/atom) = -0.362



# CaCeDy2Hg4, optimized geometry, DFT GGA-PBE
data_CaCeDy2Hg4
_chemical_formula_sum 'Ca1 Ce1 Dy2 Hg4'
_cell_length_a 9.256
_cell_length_b 9.256
_cell_length_c 9.256
_cell_angle_alpha 33.38
_cell_angle_beta 33.38
_cell_angle_gamma 33.38
_symmetry_space_group_name_H-M 'P 1'
_symmetry_Int_Tables_number 1
_symmetry_space_group_name_Hall 'P 1'
loop_
_atom_site_label
_atom_site_type_symbol
_atom_site_fract_x
_atom_site_fract_y
_atom_site_fract_z
Ca1 Ca 0.000 0.000 0.000
Ce1 Ce 0.500 0.500 0.500
Dy1 Dy 0.252 0.252 0.252
Dy2 Dy 0.748 0.748 0.748
Hg1 Hg 0.124 0.124 0.124
Hg2 Hg 0.375 0.375 0.375
Hg3 Hg 0.625 0.625 0.625
Hg4 Hg 0.876 0.876 0.876
# - mass density (Mg/m³) = 10.16
# - M_tot (μB per formula unit) = 1.13
# - formation energy from the elements (meV/atom) = -449



# Ta6Al3Ga, optimized geometry, DFT GGA-PBE
data_Ta6Al3Ga
_chemical_formula_sum 'Ta12 Al6 Ga2'
_cell_length_a 7.155
_cell_length_b 6.617
_cell_length_c 9.862
_cell_angle_alpha 90.00
_cell_angle_beta 129.49
_cell_angle_gamma 90.00
_symmetry_space_group_name_H-M 'P 1'
_symmetry_Int_Tables_number 1
_symmetry_space_group_name_Hall 'P 1'
loop_
_atom_site_label
_atom_site_type_symbol
_atom_site_fract_x
_atom_site_fract_y
_atom_site_fract_z
Ta1 Ta 0.022 0.139 0.303
Ta2 Ta 0.022 0.361 0.803
Ta3 Ta 0.279 0.198 0.711
Ta4 Ta 0.279 0.302 0.211
Ta5 Ta 0.401 0.614 0.855
Ta6 Ta 0.401 0.886 0.355
Ta7 Ta 0.599 0.114 0.645
Ta8 Ta 0.599 0.386 0.145
Ta9 Ta 0.721 0.698 0.789
Ta10 Ta 0.721 0.802 0.289
Ta11 Ta 0.978 0.639 0.197
Ta12 Ta 0.978 0.861 0.697
Al1 Al 0.000 0.000 0.000
Al2 Al 0.000 0.500 0.500
Al3 Al 0.239 0.671 0.049
Al4 Al 0.239 0.829 0.549
Al5 Al 0.761 0.171 0.451
Al6 Al 0.761 0.329 0.951
Ga1 Ga 0.500 0.000 0.000
Ga2 Ga 0.500 0.500 0.500
# - mass density (Mg/m³) = 11.39
# - M_tot (μB per formula unit) = 0.00
# - formation energy from the elements (meV/atom) = 74



# BaTa2Sb, optimized geometry, DFT GGA-PBE
data_BaTa2Sb
_chemical_formula_sum 'Ba2 Ta4 Sb2'
_cell_length_a 4.517
_cell_length_b 4.517
_cell_length_c 9.358
_cell_angle_alpha 90.00
_cell_angle_beta 90.00
_cell_angle_gamma 90.00
_symmetry_space_group_name_H-M 'P 1'
_symmetry_Int_Tables_number 1
_symmetry_space_group_name_Hall 'P 1'
loop_
_atom_site_label
_atom_site_type_symbol
_atom_site_fract_x
_atom_site_fract_y
_atom_site_fract_z
Ba1 Ba 0.000 0.000 0.000
Ba2 Ba 0.500 0.500 0.500
Ta1 Ta 0.000 0.500 0.250
Ta2 Ta 0.000 0.500 0.750
Ta3 Ta 0.500 0.000 0.250
Ta4 Ta 0.500 0.000 0.750
Sb1 Sb 0.000 0.000 0.500
Sb2 Sb 0.500 0.500 0.000
# - mass density (Mg/m³) = 10.80
# - M_tot (μB per formula unit) = 0.00
# - raw formation energy (eV/atom) = 0.953



# Rb2Y2ZrSe6, optimized geometry, DFT GGA-PBE
data_Rb2Y2ZrSe6
_chemical_formula_sum 'Rb2 Y2 Zr1 Se6'
_cell_length_a 7.071
_cell_length_b 7.071
_cell_length_c 8.550
_cell_angle_alpha 98.21
_cell_angle_beta 98.21
_cell_angle_gamma 119.68
_symmetry_space_group_name_H-M 'P 1'
_symmetry_Int_Tables_number 1
_symmetry_space_group_name_Hall 'P 1'
loop_
_atom_site_label
_atom_site_type_symbol
_atom_site_fract_x
_atom_site_fract_y
_atom_site_fract_z
Rb1 Rb 0.170 0.830 0.000
Rb2 Rb 0.830 0.170 0.000
Y1 Y 0.333 0.667 0.500
Y2 Y 0.667 0.333 0.500
Zr1 Zr 0.000 0.000 0.500
Se1 Se 0.067 0.384 0.691
Se2 Se 0.253 0.253 0.310
Se3 Se 0.384 0.067 0.691
Se4 Se 0.616 0.933 0.309
Se5 Se 0.747 0.747 0.690
Se6 Se 0.933 0.616 0.309
# - mass density (Mg/m³) = 4.26
# - M_tot (μB per formula unit) = 0.00
# - raw formation energy (eV/atom) = -1.649



# As2WAu, optimized geometry, DFT GGA-PBE
data_As2WAu
_chemical_formula_sum 'As2 W1 Au1'
_cell_length_a 2.755
_cell_length_b 4.940
_cell_length_c 5.255
_cell_angle_alpha 90.00
_cell_angle_beta 90.00
_cell_angle_gamma 90.00
_symmetry_space_group_name_H-M 'P 1'
_symmetry_Int_Tables_number 1
_symmetry_space_group_name_Hall 'P 1'
loop_
_atom_site_label
_atom_site_type_symbol
_atom_site_fract_x
_atom_site_fract_y
_atom_site_fract_z
As1 As 0.000 0.000 0.238
As2 As 0.000 0.000 0.762
W1 W 0.000 0.500 0.000
Au1 Au 0.500 0.500 0.500
# - mass density (Mg/m³) = 12.32
# - relative energy among the computed polymorphs (eV/atom) = 0.290
# - M_tot (μB per formula unit) = 0.00
# - formation energy from the elements (meV/atom) = 470



# Ac2MgNi2, optimized geometry, DFT GGA-PBE
data_Ac2MgNi2
_chemical_formula_sum 'Ac4 Mg2 Ni4'
_cell_length_a 7.809
_cell_length_b 7.809
_cell_length_c 4.112
_cell_angle_alpha 90.00
_cell_angle_beta 90.00
_cell_angle_gamma 90.00
_symmetry_space_group_name_H-M 'P 1'
_symmetry_Int_Tables_number 1
_symmetry_space_group_name_Hall 'P 1'
loop_
_atom_site_label
_atom_site_type_symbol
_atom_site_fract_x
_atom_site_fract_y
_atom_site_fract_z
Ac1 Ac 0.175 0.325 0.000
Ac2 Ac 0.325 0.825 0.000
Ac3 Ac 0.675 0.175 0.000
Ac4 Ac 0.825 0.675 0.000
Mg1 Mg 0.000 0.000 0.500
Mg2 Mg 0.500 0.500 0.500
Ni1 Ni 0.117 0.617 0.500
Ni2 Ni 0.383 0.117 0.500
Ni3 Ni 0.617 0.883 0.500
Ni4 Ni 0.883 0.383 0.500
# - mass density (Mg/m³) = 7.89
# - M_tot (μB per formula unit) = 0.00
# - formation energy from the elements (meV/atom) = -242



# LiTl2Pd2, optimized geometry, DFT GGA-PBE
data_LiTl2Pd2
_chemical_formula_sum 'Li2 Tl4 Pd4'
_cell_length_a 5.344
_cell_length_b 5.344
_cell_length_c 7.859
_cell_angle_alpha 90.00
_cell_angle_beta 90.00
_cell_angle_gamma 90.00
_symmetry_space_group_name_H-M 'P 1'
_symmetry_Int_Tables_number 1
_symmetry_space_group_name_Hall 'P 1'
loop_
_atom_site_label
_atom_site_type_symbol
_atom_site_fract_x
_atom_site_fract_y
_atom_site_fract_z
Li1 Li 0.000 0.000 0.000
Li2 Li 0.500 0.500 0.500
Tl1 Tl 0.000 0.500 0.250
Tl2 Tl 0.000 0.500 0.750
Tl3 Tl 0.500 0.000 0.250
Tl4 Tl 0.500 0.000 0.750
Pd1 Pd 0.000 0.000 0.327
Pd2 Pd 0.000 0.000 0.673
Pd3 Pd 0.500 0.500 0.173
Pd4 Pd 0.500 0.500 0.827
# - mass density (Mg/m³) = 9.30
# - relative energy among the computed polymorphs (eV/atom) = 0.170
# - M_tot (μB per formula unit) = 0.00
# - formation energy from the elements (meV/atom) = -98



# TlNiRh2, optimized geometry, DFT GGA-PBE
data_TlNiRh2
_chemical_formula_sum 'Tl1 Ni1 Rh2'
_cell_length_a 2.906
_cell_length_b 3.722
_cell_length_c 5.755
_cell_angle_alpha 90.00
_cell_angle_beta 90.00
_cell_angle_gamma 90.00
_symmetry_space_group_name_H-M 'P 1'
_symmetry_Int_Tables_number 1
_symmetry_space_group_name_Hall 'P 1'
loop_
_atom_site_label
_atom_site_type_symbol
_atom_site_fract_x
_atom_site_fract_y
_atom_site_fract_z
Tl1 Tl 0.000 0.000 0.000
Ni1 Ni 0.500 0.500 0.275
Rh1 Rh 0.000 0.000 0.481
Rh2 Rh 0.500 0.500 0.718
# - mass density (Mg/m³) = 12.51
# - M_tot (μB per formula unit) = 0.00
# - formation energy from the elements (meV/atom) = 214



# DyPuSe2, optimized geometry, DFT GGA-PBE
data_DyPuSe2
_chemical_formula_sum 'Dy2 Pu2 Se4'
_cell_length_a 4.030
_cell_length_b 4.030
_cell_length_c 14.078
_cell_angle_alpha 90.00
_cell_angle_beta 90.00
_cell_angle_gamma 120.00
_symmetry_space_group_name_H-M 'P 1'
_symmetry_Int_Tables_number 1
_symmetry_space_group_name_Hall 'P 1'
loop_
_atom_site_label
_atom_site_type_symbol
_atom_site_fract_x
_atom_site_fract_y
_atom_site_fract_z
Dy1 Dy 0.000 0.000 0.000
Dy2 Dy 0.000 0.000 0.500
Pu1 Pu 0.333 0.667 0.250
Pu2 Pu 0.667 0.333 0.750
Se1 Se 0.333 0.667 0.619
Se2 Se 0.333 0.667 0.881
Se3 Se 0.667 0.333 0.119
Se4 Se 0.667 0.333 0.381
# - mass density (Mg/m³) = 9.47
# - relative energy among the computed polymorphs (eV/atom) = 0.042
# - M_tot (μB per formula unit) = 6.04
# - raw formation energy (eV/atom) = -1.628



# CaMnPt, optimized geometry, DFT GGA-PBE
data_CaMnPt
_chemical_formula_sum 'Ca1 Mn1 Pt1'
_cell_length_a 4.262
_cell_length_b 4.262
_cell_length_c 4.181
_cell_angle_alpha 90.00
_cell_angle_beta 90.00
_cell_angle_gamma 120.00
_symmetry_space_group_name_H-M 'P 1'
_symmetry_Int_Tables_number 1
_symmetry_space_group_name_Hall 'P 1'
loop_
_atom_site_label
_atom_site_type_symbol
_atom_site_fract_x
_atom_site_fract_y
_atom_site_fract_z
Ca1 Ca 0.000 0.000 0.000
Mn1 Mn 0.667 0.333 0.500
Pt1 Pt 0.333 0.667 0.500
# - mass density (Mg/m³) = 7.32
# - M_tot (μB per formula unit) = 3.37
# - formation energy from the elements (meV/atom) = -314



The records above give, respectively, DOS(E_F) values of 0.05, 1.53, 0.27, 0.51, 1.54, 0.67, 1.20, 0.00, 0.62, 0.58, 0.29, 1.54, 2.69, 0.92 states/eV/atom.